# PmPd PBE optimized geometry
data_PmPd
_chemical_formula_sum 'Pm4 Pd4'
_symmetry_space_group_name_H-M 'C m c m'
_symmetry_Int_Tables_number 63
_symmetry_space_group_name_Hall '-C 2c 2'
_cell_length_a 3.878
_cell_length_b 10.816
_cell_length_c 4.611
_cell_angle_alpha 90.00
_cell_angle_beta 90.00
_cell_angle_gamma 90.00
loop_
_atom_site_label
_atom_site_fract_x
_atom_site_fract_y
_atom_site_fract_z
_atom_site_occupancy
Pm1 0.000 0.137 0.250 1
Pd1 0.000 0.414 0.250 1
# E_tot: -5.80 eV/atom
# Calculated volume: 193.4 Å³/cell
# Total magnetic moment: 0.00 μB/atom
# Energy of formation: -0.8315 eV/atom

# MgCd3Re PBE optimized geometry
data_MgCd3Re
_chemical_formula_sum 'Mg1 Cd3 Re1'
_symmetry_space_group_name_H-M 'P m -3 m'
_symmetry_Int_Tables_number 221
_symmetry_space_group_name_Hall '-P 4 2 3'
_cell_length_a 5.126
_cell_length_b 5.126
_cell_length_c 5.126
_cell_angle_alpha 90.00
_cell_angle_beta 90.00
_cell_angle_gamma 90.00
loop_
_atom_site_label
_atom_site_fract_x
_atom_site_fract_y
_atom_site_fract_z
_atom_site_occupancy
Mg1 0.000 0.000 0.000 1
Cd1 0.000 0.000 0.500 1
Re1 0.500 0.500 0.500 1
# E_tot: -1.83 eV/atom
# Calculated volume: 134.7 Å³/cell
# Excess energy over the best structure of this formula in the dataset: 256.1 kJ/mol of formula units
# Total magnetic moment: 0.79 μB/atom
# Energy of formation: 1.5247 eV/atom

# Na13Sb2 PBE optimized geometry
data_Na13Sb2
_chemical_formula_sum 'Na39 Sb6'
_symmetry_space_group_name_H-M 'R -3 m'
_symmetry_Int_Tables_number 166
_symmetry_space_group_name_Hall '-R 3 2"'
_cell_length_a 9.4029
_cell_length_b 9.4029
_cell_length_c 25.1986
_cell_angle_alpha 90.00
_cell_angle_beta 90.00
_cell_angle_gamma 120.00
loop_
_atom_site_label
_atom_site_fract_x
_atom_site_fract_y
_atom_site_fract_z
_atom_site_occupancy
Na1 0.0000 0.0000 0.0000 1
Na2 0.0775 0.5387 0.5527 1
Na3 0.0986 0.5493 0.3341 1
Sb1 0.0000 0.0000 0.2159 1
# E_tot: -1.69 eV/atom
# Calculated volume: 1929.4 Å³/cell
# Formation energy from raw total energies: 1 meV/atom
# Total magnetic moment: 0.00 μB/atom

# Rb2CrTe4Au PBE optimized geometry
data_Rb2CrTe4Au
_chemical_formula_sum 'Rb16 Cr8 Te32 Au8'
_symmetry_space_group_name_H-M 'F d d d'
_symmetry_Int_Tables_number 70
_cell_length_a 6.407
_cell_length_b 14.348
_cell_length_c 25.811
_cell_angle_alpha 90.00
_cell_angle_beta 90.00
_cell_angle_gamma 90.00
loop_
_symmetry_equiv_pos_as_xyz
'x,y,z'
'-x,-y,-z'
'-x+1/4,-y+1/4,z'
'x+1/4,y+1/4,-z'
'x,-y+1/4,-z+1/4'
'-x,y+1/4,z+1/4'
'-x+1/4,y,-z+1/4'
'x+1/4,-y,z+1/4'
'x,y+1/2,z+1/2'
'-x,-y+1/2,-z+1/2'
'-x+1/4,-y+3/4,z+1/2'
'x+1/4,y+3/4,-z+1/2'
'x,-y+3/4,-z+3/4'
'-x,y+3/4,z+3/4'
'-x+1/4,y+1/2,-z+3/4'
'x+1/4,-y+1/2,z+3/4'
'x+1/2,y,z+1/2'
'-x+1/2,-y,-z+1/2'
'-x+3/4,-y+1/4,z+1/2'
'x+3/4,y+1/4,-z+1/2'
'x+1/2,-y+1/4,-z+3/4'
'-x+1/2,y+1/4,z+3/4'
'-x+3/4,y,-z+3/4'
'x+3/4,-y,z+3/4'
'x+1/2,y+1/2,z'
'-x+1/2,-y+1/2,-z'
'-x+3/4,-y+3/4,z'
'x+3/4,y+3/4,-z'
'x+1/2,-y+3/4,-z+1/4'
'-x+1/2,y+3/4,z+1/4'
'-x+3/4,y+1/2,-z+1/4'
'x+3/4,-y+1/2,z+1/4'
loop_
_atom_site_label
_atom_site_fract_x
_atom_site_fract_y
_atom_site_fract_z
_atom_site_occupancy
Rb1 0.125 0.125 0.308 1
Cr1 0.125 0.125 0.125 1
Te1 0.097 0.273 0.433 1
Au1 0.125 0.125 0.625 1
# E_tot: -3.88 eV/atom
# Calculated volume: 2372.6 Å³/cell
# Formation energy from raw total energies: -455 meV/atom
# Total magnetic moment: 0.12 μB/atom

# LaCuSe2 PBE optimized geometry
data_LaCuSe2
_chemical_formula_sum 'La1 Cu1 Se2'
_symmetry_space_group_name_H-M 'P 4/m m m'
_symmetry_Int_Tables_number 123
_symmetry_space_group_name_Hall '-P 4 2'
_cell_length_a 4.835
_cell_length_b 4.835
_cell_length_c 3.764
_cell_angle_alpha 90.00
_cell_angle_beta 90.00
_cell_angle_gamma 90.00
loop_
_atom_site_label
_atom_site_fract_x
_atom_site_fract_y
_atom_site_fract_z
_atom_site_occupancy
La1 0.000 0.000 0.000 1
Cu1 0.500 0.500 0.000 1
Se1 0.000 0.500 0.500 1
# E_tot: -4.95 eV/atom
# Calculated volume: 88.0 Å³/cell
# Formation energy from raw total energies: -955 meV/atom
# Total magnetic moment: 0.00 μB/atom

# Li2Ac5Pb5 PBE optimized geometry
data_Li2Ac5Pb5
_chemical_formula_sum 'Li4 Ac10 Pb10'
_symmetry_space_group_name_H-M 'C 1 2/m 1'
_symmetry_Int_Tables_number 12
_symmetry_space_group_name_Hall '-C 2y'
_cell_length_a 13.168
_cell_length_b 5.010
_cell_length_c 13.577
_cell_angle_alpha 90.00
_cell_angle_beta 114.06
_cell_angle_gamma 90.00
loop_
_atom_site_label
_atom_site_fract_x
_atom_site_fract_y
_atom_site_fract_z
_atom_site_occupancy
Li1 0.200 0.000 0.260 1
Ac1 0.000 0.500 0.000 1
Ac2 0.108 0.000 0.775 1
Ac3 0.154 0.000 0.491 1
Pb1 0.000 0.500 0.500 1
Pb2 0.106 0.500 0.279 1
Pb3 0.214 0.000 0.057 1
# E_tot: -3.96 eV/atom
# Calculated volume: 817.9 Å³/cell
# Excess energy over the best structure of this formula in the dataset: 138.1 kJ/mol of formula units
# Total magnetic moment: 0.00 μB/atom
# Energy of formation: -0.3831 eV/atom

# Er2Mg3Ag4 PBE optimized geometry
data_Er2Mg3Ag4
_chemical_formula_sum 'Er8 Mg12 Ag16'
_symmetry_space_group_name_H-M 'C m c e'
_symmetry_Int_Tables_number 64
_symmetry_space_group_name_Hall '-C 2ac 2'
_cell_length_a 6.000
_cell_length_b 16.896
_cell_length_c 7.736
_cell_angle_alpha 90.00
_cell_angle_beta 90.00
_cell_angle_gamma 90.00
loop_
_atom_site_label
_atom_site_fract_x
_atom_site_fract_y
_atom_site_fract_z
_atom_site_occupancy
Er1 0.000 0.098 0.100 1
Mg1 0.000 0.000 0.500 1
Mg2 0.250 0.234 0.750 1
Ag1 0.000 0.166 0.473 1
Ag2 0.250 0.066 0.750 1
# E_tot: -3.02 eV/atom
# Calculated volume: 784.2 Å³/cell
# Excess energy over the best structure of this formula in the dataset: 25.8 kJ/mol of formula units
# Total magnetic moment: 0.00 μB/atom
# Energy of formation: -0.2082 eV/atom

# Ho2Al5Fe2Ag PBE optimized geometry
data_Ho2Al5Fe2Ag
_chemical_formula_sum 'Ho4 Al10 Fe4 Ag2'
_symmetry_space_group_name_H-M 'P 4/m b m'
_symmetry_Int_Tables_number 127
_symmetry_space_group_name_Hall '-P 4 2ab'
_cell_length_a 9.227
_cell_length_b 9.227
_cell_length_c 4.154
_cell_angle_alpha 90.00
_cell_angle_beta 90.00
_cell_angle_gamma 90.00
loop_
_atom_site_label
_atom_site_fract_x
_atom_site_fract_y
_atom_site_fract_z
_atom_site_occupancy
Ho1 0.187 0.313 0.000 1
Al1 0.000 0.500 0.500 1
Al2 0.062 0.784 0.500 1
Fe1 0.099 0.599 0.000 1
Ag1 0.000 0.000 0.000 1
# E_tot: -5.05 eV/atom
# Calculated volume: 353.7 Å³/cell
# Total magnetic moment: 0.27 μB/atom
# Energy of formation: -0.2844 eV/atom

# NpNb2N3 PBE optimized geometry
data_NpNb2N3
_chemical_formula_sum 'Np2 Nb4 N6'
_symmetry_space_group_name_H-M 'I m m m'
_symmetry_Int_Tables_number 71
_symmetry_space_group_name_Hall '-I 2 2'
_cell_length_a 3.205
_cell_length_b 4.553
_cell_length_c 9.851
_cell_angle_alpha 90.00
_cell_angle_beta 90.00
_cell_angle_gamma 90.00
loop_
_atom_site_label
_atom_site_fract_x
_atom_site_fract_y
_atom_site_fract_z
_atom_site_occupancy
Np1 0.000 0.000 0.000 1
Nb1 0.000 0.000 0.325 1
N1 0.000 0.500 0.000 1
N2 0.000 0.500 0.329 1
# E_tot: -10.76 eV/atom
# Calculated volume: 143.8 Å³/cell
# Formation energy from raw total energies: -1081 meV/atom
# Total magnetic moment: 0.41 μB/atom

# CaTc2P PBE optimized geometry
data_CaTc2P
_chemical_formula_sum 'Ca3 Tc6 P3'
_symmetry_space_group_name_H-M 'R 3 m'
_symmetry_Int_Tables_number 160
_symmetry_space_group_name_Hall 'R 3 -2"'
_cell_length_a 4.1417
_cell_length_b 4.1417
_cell_length_c 15.9771
_cell_angle_alpha 90.00
_cell_angle_beta 90.00
_cell_angle_gamma 120.00
loop_
_atom_site_label
_atom_site_fract_x
_atom_site_fract_y
_atom_site_fract_z
_atom_site_occupancy
Ca1 0.0000 0.0000 0.0000 1
Tc1 0.0000 0.0000 0.5062 1
Tc2 0.0000 0.0000 0.8042 1
P1 0.0000 0.0000 0.2108 1
# E_tot: -7.30 eV/atom
# Calculated volume: 237.4 Å³/cell
# Total magnetic moment: 0.00 μB/atom
# Energy of formation: -0.2649 eV/atom

# Ca2Zn2Pd5Rh PBE optimized geometry
data_Ca2Zn2Pd5Rh
_chemical_formula_sum 'Ca4 Zn4 Pd10 Rh2'
_symmetry_space_group_name_H-M 'P 4/m b m'
_symmetry_Int_Tables_number 127
_symmetry_space_group_name_Hall '-P 4 2ab'
_cell_length_a 9.777
_cell_length_b 9.777
_cell_length_c 3.688
_cell_angle_alpha 90.00
_cell_angle_beta 90.00
_cell_angle_gamma 90.00
loop_
_atom_site_label
_atom_site_fract_x
_atom_site_fract_y
_atom_site_fract_z
_atom_site_occupancy
Ca1 0.177 0.323 0.000 1
Zn1 0.123 0.623 0.000 1
Pd1 0.000 0.500 0.500 1
Pd2 0.064 0.796 0.500 1
Rh1 0.000 0.000 0.000 1
# E_tot: -4.43 eV/atom
# Calculated volume: 352.5 Å³/cell
# Total magnetic moment: 0.00 μB/atom
# Energy of formation: -0.4447 eV/atom

# Ba2Na2Cd PBE optimized geometry
data_Ba2Na2Cd
_chemical_formula_sum 'Ba4 Na4 Cd2'
_symmetry_space_group_name_H-M 'P 4/m b m'
_symmetry_Int_Tables_number 127
_symmetry_space_group_name_Hall '-P 4 2ab'
_cell_length_a 9.440
_cell_length_b 9.440
_cell_length_c 5.675
_cell_angle_alpha 90.00
_cell_angle_beta 90.00
_cell_angle_gamma 90.00
loop_
_atom_site_label
_atom_site_fract_x
_atom_site_fract_y
_atom_site_fract_z
_atom_site_occupancy
Ba1 0.163 0.337 0.000 1
Na1 0.139 0.639 0.500 1
Cd1 0.000 0.000 0.000 1
# E_tot: -1.40 eV/atom
# Calculated volume: 505.7 Å³/cell
# Excess energy over the best structure of this formula in the dataset: 111.7 kJ/mol of formula units
# Total magnetic moment: 0.00 μB/atom
# Energy of formation: 0.0809 eV/atom